No. 1
Compound: Th3ZnGa3
Source: Alexandria via LeMat-Bulk
Functional: PBE
Structure: optimized geometry

E, eV per atom: -5.15

a = 4.4465 Å, b = 6.0044 Å, c = 13.7869 Å
α = 83.96°, β = 80.72°, γ = 68.27°
Sites, in units of the cell vectors:
Th1 0.5307 0.3202 0.6183
Ga1 0.0329 0.1653 0.7688
Zn1 0.2403 0.9127 0.6068
Ga2 0.8926 0.1406 0.0743
Th2 0.7424 0.7389 0.7762
Ga3 0.9671 0.8347 0.2312
Th3 0.2576 0.2611 0.2238
Ga4 0.8643 0.7254 0.5461
Ga5 0.1357 0.2746 0.4539
Th4 0.6071 0.7072 0.0786
Zn2 0.7597 0.0873 0.3932
Ga6 0.1074 0.8594 0.9257
Th5 0.4693 0.6798 0.3817
Th6 0.3929 0.2928 0.9214


No. 2
Compound: Th3Zn4Ga4
Source: Alexandria via LeMat-Bulk
Functional: PBE
Structure: optimized geometry

E, eV per atom: -4.06

a = 4.2135 Å, b = 4.2835 Å, c = 13.0696 Å
α = 80.55°, β = 80.77°, γ = 90.04°
Sites, in units of the cell vectors:
Th1 0.1460 0.6461 0.7077
Zn1 0.2497 0.2507 0.4994
Ga1 0.4514 0.4511 0.0983
Ga2 0.5486 0.5489 0.9017
Ga3 0.6920 0.1921 0.6154
Zn2 0.5963 0.0957 0.8081
Th2 0.8540 0.3539 0.2923
Zn3 0.4037 0.9043 0.1919
Th3 0.0000 0.0000 0.0000
Ga4 0.3080 0.8079 0.3846
Zn4 0.7503 0.7493 0.5006


No. 3
Compound: ThZn9Ga3
Source: Alexandria via LeMat-Bulk
Functional: PBE
Structure: optimized geometry

E, eV per atom: -2.27

a = 5.6224 Å, b = 6.9764 Å, c = 6.8204 Å
α = 79.88°, β = 65.66°, γ = 64.77°
Sites, in units of the cell vectors:
Zn1 0.6584 0.3603 0.3559
Zn2 0.9857 0.6397 0.3559
Zn3 0.3416 0.6397 0.6441
Zn4 0.0143 0.3603 0.6441
Ga1 0.5000 0.5000 0.0000
Zn5 0.5040 0.7829 0.2150
Zn6 0.4960 0.2171 0.7850
Zn7 0.2810 0.2171 0.2150
Ga2 0.0000 0.0000 0.5000
Th1 0.0000 0.0000 0.0000
Zn8 0.0000 0.5000 0.0000
Zn9 0.7190 0.7829 0.7850
Ga3 0.5000 0.0000 0.5000


No. 4
Compound: ThZnGa4
Source: Alexandria via LeMat-Bulk
Functional: PBE
Structure: optimized geometry

E, eV per atom: -3.60

a = 5.5604 Å, b = 5.5604 Å, c = 5.5604 Å
α = 60.00°, β = 60.00°, γ = 60.00°
Sites, in units of the cell vectors:
Ga1 0.6252 0.6252 0.6252
Ga2 0.1245 0.6252 0.6252
Th1 0.2500 0.2500 0.2500
Ga3 0.6252 0.6252 0.1245
Zn1 0.0000 0.0000 0.0000
Ga4 0.6252 0.1245 0.6252


No. 5
Compound: ThZn2Ga
Source: Alexandria via LeMat-Bulk
Functional: PBE
Structure: optimized geometry

E, eV per atom: -3.47

a = 4.4715 Å, b = 4.3812 Å, c = 4.3812 Å
α = 90.00°, β = 90.00°, γ = 90.00°
Sites, in units of the cell vectors:
Zn1 0.0000 0.0000 0.5000
Ga1 0.5000 0.0000 0.0000
Zn2 0.0000 0.5000 0.0000
Th1 0.5000 0.5000 0.5000


No. 6
Compound: Th4Zn5Ga2
Source: Alexandria via LeMat-Bulk
Functional: PBE
Structure: optimized geometry

E, eV per atom: -4.10

a = 4.5243 Å, b = 6.8889 Å, c = 8.1881 Å
α = 87.21°, β = 90.00°, γ = 90.00°
Sites, in units of the cell vectors:
Zn1 0.0000 0.5000 0.0000
Zn2 0.0000 0.8519 0.8848
Th1 0.5000 0.2093 0.8601
Zn3 0.0000 0.4308 0.6518
Th2 0.5000 0.7461 0.6099
Th3 0.5000 0.7907 0.1399
Zn4 0.0000 0.5692 0.3482
Zn5 0.0000 0.1481 0.1152
Th4 0.5000 0.2539 0.3901
Ga1 0.0000 0.9327 0.3655
Ga2 0.0000 0.0673 0.6345


No. 7
Compound: Th2Zn2Ga3
Source: Alexandria via LeMat-Bulk
Functional: PBE
Structure: optimized geometry

E, eV per atom: -4.26

a = 4.4542 Å, b = 7.0174 Å, c = 9.7195 Å
α = 90.00°, β = 103.25°, γ = 90.00°
Sites, in units of the cell vectors:
Ga1 0.4403 0.9285 0.8806
Zn1 0.6820 0.9339 0.3639
Th1 0.1587 0.2500 0.3174
Zn2 0.6820 0.5661 0.3639
Th2 0.0497 0.7500 0.0995
Zn3 0.3180 0.4339 0.6361
Ga2 0.7791 0.2500 0.5582
Zn4 0.3180 0.0661 0.6361
Ga3 0.5597 0.4285 0.1194
Ga4 0.2209 0.7500 0.4418
Ga5 0.5597 0.0715 0.1194
Th3 0.8413 0.7500 0.6826
Th4 0.9503 0.2500 0.9005
Ga6 0.4403 0.5715 0.8806


No. 8
Compound: ThZn2Ga
Source: Alexandria via LeMat-Bulk
Functional: PBE
Structure: optimized geometry

E, eV per atom: -3.52

a = 4.3007 Å, b = 4.3007 Å, c = 5.7058 Å
α = 67.86°, β = 67.86°, γ = 60.00°
Sites, in units of the cell vectors:
Th1 0.0000 0.0000 0.0000
Ga1 0.5000 0.5000 0.5000
Zn1 0.7833 0.7833 0.6502
Zn2 0.2167 0.2167 0.3498


No. 9
Compound: ThZnGa2
Source: Alexandria via LeMat-Bulk
Functional: PBE
Structure: optimized geometry

E, eV per atom: -4.06

a = 4.3885 Å, b = 4.4332 Å, c = 4.4332 Å
α = 90.00°, β = 90.00°, γ = 90.00°
Sites, in units of the cell vectors:
Ga1 0.0000 0.5000 0.0000
Th1 0.5000 0.5000 0.5000
Zn1 0.5000 0.0000 0.0000
Ga2 0.0000 0.0000 0.5000


No. 10
Compound: ThZn6Ga2
Source: Alexandria via LeMat-Bulk
Functional: PBE
Structure: optimized geometry

E, eV per atom: -2.54

a = 4.1187 Å, b = 4.1187 Å, c = 9.2309 Å
α = 90.00°, β = 90.00°, γ = 90.00°
Sites, in units of the cell vectors:
Ga1 0.5000 0.5000 0.8622
Ga2 0.5000 0.5000 0.1378
Zn1 0.5000 0.5000 0.5000
Zn2 0.0000 0.0000 0.5000
Zn3 0.0000 0.5000 0.3045
Th1 0.0000 0.0000 0.0000
Zn4 0.5000 0.0000 0.6955
Zn5 0.5000 0.0000 0.3045
Zn6 0.0000 0.5000 0.6955


No. 11
Compound: Th2Zn15Ga2
Source: Alexandria via LeMat-Bulk
Functional: PBE
Structure: optimized geometry

E, eV per atom: -2.31

a = 6.8738 Å, b = 6.8738 Å, c = 6.8738 Å
α = 84.06°, β = 84.06°, γ = 84.06°
Sites, in units of the cell vectors:
Zn1 0.6967 0.0000 0.3033
Ga1 0.0992 0.0992 0.0992
Zn2 0.3033 0.0000 0.6967
Zn3 0.0000 0.6967 0.3033
Zn4 0.0000 0.0000 0.5000
Ga2 0.9008 0.9008 0.9008
Zn5 0.6486 0.1659 0.6486
Zn6 0.3033 0.6967 0.0000
Zn7 0.0000 0.3033 0.6967
Th1 0.6645 0.6645 0.6645
Zn8 0.0000 0.5000 0.0000
Zn9 0.8341 0.3514 0.3514
Th2 0.3355 0.3355 0.3355
Zn10 0.6486 0.6486 0.1659
Zn11 0.6967 0.3033 0.0000
Zn12 0.3514 0.3514 0.8341
Zn13 0.1659 0.6486 0.6486
Zn14 0.5000 0.0000 0.0000
Zn15 0.3514 0.8341 0.3514


No. 12
Compound: Th2ZnGa12
Source: Alexandria via LeMat-Bulk
Functional: PBE
Structure: optimized geometry

E, eV per atom: -3.75

a = 6.3039 Å, b = 6.3039 Å, c = 15.0622 Å
α = 90.00°, β = 90.00°, γ = 90.00°
Sites, in units of the cell vectors:
Ga1 0.1710 0.3290 0.4277
Ga2 0.2506 0.2494 0.0884
Zn1 0.5000 0.0000 0.0000
Ga3 0.7494 0.2494 0.9116
Ga4 0.0000 0.0000 0.1795
Th1 0.0000 0.5000 0.2445
Ga5 0.7506 0.7494 0.9116
Th2 0.5000 0.0000 0.2445
Ga6 0.2494 0.7494 0.0884
Ga7 0.3290 0.8290 0.4277
Ga8 0.3290 0.1710 0.5723
Zn2 0.0000 0.5000 0.0000
Ga9 0.5000 0.5000 0.1795
Ga10 0.6710 0.8290 0.5723
Ga11 0.0000 0.0000 0.3425
Th3 0.5000 0.0000 0.7555
Ga12 0.5000 0.5000 0.6575
Ga13 0.7494 0.7506 0.0884
Ga14 0.5000 0.5000 0.3425
Ga15 0.2506 0.7506 0.9116
Ga16 0.8290 0.3290 0.5723
Ga17 0.2494 0.2506 0.9116
Th4 0.0000 0.5000 0.7555
Ga18 0.0000 0.0000 0.8205
Ga19 0.5000 0.5000 0.8205
Ga20 0.6710 0.1710 0.4277
Ga21 0.7506 0.2506 0.0884
Ga22 0.0000 0.0000 0.6575
Ga23 0.8290 0.6710 0.4277
Ga24 0.1710 0.6710 0.5723